DFT (PBE) results for a relaxed Pr9Ho4Zn11 crystal.

Output
- formation energy (eV/atom) = -0.2265
- space group = Cmmm (65)
- D(E_F) (states/eV/f.u.) = 22.8

abc: 3.549 13.537 13.537
angles: 111.18 90.00 90.00
Each line ends with the local moment (μB).
Fractional coordinates of all 24 atoms:
Zn 0.000 0.362 0.638  0.00
Pr 0.500 0.500 0.500  0.11
Ho 0.500 0.443 0.252  0.03
Pr 0.500 0.629 0.140  -0.01
Pr 0.500 0.140 0.629  -0.01
Zn 0.000 0.638 0.362  0.00
Zn 0.000 0.266 0.266  0.00
Pr 0.500 0.792 0.959  -0.01
Pr 0.500 0.041 0.208  -0.01
Pr 0.500 0.860 0.371  -0.01
Pr 0.500 0.959 0.792  -0.01
Zn 0.000 0.063 0.418  0.00
Zn 0.000 0.734 0.734  0.00
Pr 0.500 0.208 0.041  -0.01
Zn 0.000 0.937 0.582  0.00
Ho 0.500 0.748 0.557  0.03
Zn 0.000 0.835 0.165  0.00
Ho 0.500 0.252 0.443  0.03
Ho 0.500 0.557 0.748  0.03
Zn 0.000 0.165 0.835  0.00
Pr 0.500 0.371 0.860  -0.01
Zn 0.000 0.582 0.937  0.00
Zn 0.000 0.418 0.063  0.00
Zn 0.000 0.000 0.000  0.00

DFT (PBE) results for a relaxed NbB2Os crystal.

Output
- formation energy (eV/atom) = -0.4108
- distance to the lowest polymorph of the same formula (eV/f.u.) = 0.00
- space group = Pnma (62)
- D(E_F) (states/eV/f.u.) = 1.8

abc: 3.010 6.545 8.931
angles: 90.00 90.00 90.00
Fractional coordinates of all 16 atoms:
B 0.250 0.237 0.573
Os 0.750 0.487 0.872
B 0.750 0.263 0.073
Os 0.250 0.013 0.372
B 0.750 0.825 0.837
Nb 0.250 0.111 0.880
Nb 0.250 0.611 0.620
Os 0.250 0.513 0.128
Nb 0.750 0.389 0.380
B 0.750 0.763 0.427
B 0.250 0.175 0.163
B 0.750 0.325 0.663
B 0.250 0.675 0.337
Nb 0.750 0.889 0.120
B 0.250 0.737 0.927
Os 0.750 0.987 0.628

DFT (PBE) results for a relaxed RbHoMoN3 crystal.

Output
- total DFT energy (no corrections) (eV/atom) = -7.4211
- space group = C2/m (12)
- D(E_F) (states/eV/f.u.) = 3.9

abc: 3.948 7.034 8.077
angles: 103.65 90.00 106.30
Each line ends with the local moment (μB).
Fractional coordinates of all 12 atoms:
Ho 0.339 0.678 0.430  0.02
N 0.836 0.672 0.615  0.11
Rb 0.357 0.714 0.936  0.00
N 0.137 0.274 0.760  0.09
N 0.487 0.973 0.677  0.10
Mo 0.995 0.991 0.667  -0.03
Rb 0.643 0.286 0.064  0.00
N 0.513 0.027 0.323  0.10
Mo 0.005 0.009 0.333  -0.03
N 0.863 0.726 0.240  0.09
Ho 0.661 0.322 0.570  0.02
N 0.164 0.328 0.385  0.11

DFT (PBE) results for a relaxed ScReW2 crystal.

Output
- formation energy (eV/atom) = 0.3221
- distance to the lowest polymorph of the same formula (eV/f.u.) = 1.36
- space group = Cm (8)
- D(E_F) (states/eV/f.u.) = 3.6

abc: 4.852 4.852 5.318
angles: 90.04 90.04 32.49
Fractional coordinates of all 4 atoms:
W 0.999 0.999 0.999
Sc 0.250 0.250 0.252
W 0.750 0.750 0.751
Re 0.501 0.501 0.497

DFT (PBE) results for a relaxed CeY3Tm6 crystal.

Output
- formation energy (eV/atom) = 0.1619
- space group = Cmc2_1 (36)
- D(E_F) (states/eV/f.u.) = 16.4

abc: 8.953 8.821 8.821
angles: 115.88 90.00 90.00
Each line ends with the local moment (μB).
Fractional coordinates of all 20 atoms:
Tm 0.102 0.289 0.160  0.02
Tm 0.602 0.711 0.840  0.02
Ce 0.996 0.233 0.767  0.75
Y 0.437 0.971 0.686  0.00
Tm 0.144 0.704 0.296  0.01
Tm 0.792 0.058 0.942  0.03
Y 0.937 0.686 0.971  0.00
Tm 0.774 0.830 0.528  0.04
Tm 0.644 0.296 0.704  0.01
Tm 0.602 0.160 0.289  0.02
Tm 0.274 0.170 0.472  0.04
Tm 0.292 0.942 0.058  0.03
Tm 0.102 0.840 0.711  0.02
Y 0.437 0.314 0.029  0.00
Tm 0.274 0.528 0.830  0.04
Y 0.926 0.460 0.540  0.03
Y 0.937 0.029 0.314  0.00
Y 0.426 0.540 0.460  0.03
Tm 0.774 0.472 0.170  0.04
Ce 0.496 0.767 0.233  0.75

DFT (PBE) results for a relaxed Tl2HgAs crystal.

Output
- formation energy (eV/atom) = 0.1339
- distance to the lowest polymorph of the same formula (eV/f.u.) = 0.37
- space group = R-3m (166)
- D(E_F) (states/eV/f.u.) = 1.9

abc: 11.492 11.492 11.492
angles: 16.95 16.95 16.95
Fractional coordinates of all 4 atoms:
Hg 0.750 0.750 0.750
Tl 0.508 0.508 0.508
Tl 0.992 0.992 0.992
As 0.250 0.250 0.250

DFT (PBE) results for a relaxed SrAl2As crystal.

Output
- formation energy (eV/atom) = -0.0726
- space group = C2/m (12)
- D(E_F) (states/eV/f.u.) = 1.8

abc: 6.389 6.389 3.912
angles: 71.73 71.73 123.39
Fractional coordinates of all 4 atoms:
Sr 0.000 0.500 0.500
As 0.500 0.000 0.500
Al 0.000 0.000 0.000
Al 0.500 0.500 0.000

DFT (PBE) results for a relaxed DySiTc2Ge crystal.

Output
- total DFT energy (no corrections) (eV/atom) = -7.5962
- space group = Cmcm (63)
- D(E_F) (states/eV/f.u.) = 4.9

abc: 5.861 5.816 5.949
angles: 119.26 90.00 90.00
Fractional coordinates of all 10 atoms:
Tc 0.000 0.254 0.000
Tc 0.500 0.254 0.000
Dy 0.750 0.752 0.505
Tc 0.000 0.746 0.000
Si 0.250 0.882 0.763
Ge 0.750 0.359 0.719
Tc 0.500 0.746 0.000
Si 0.750 0.118 0.237
Ge 0.250 0.641 0.281
Dy 0.250 0.248 0.495